No. 1
First-principles (PBE) data for crystalline HgOsI2O at its relaxed geometry, as listed in Alexandria via LeMat-Bulk.

Summary:
DFT total energy: -19.59 eV per formula unit
polymorph energy (0 for the lowest one): 0 meV/atom
density of states at the Fermi level: 4.186 states/eV/f.u.
space group: P4/mmm (123)

a b c (Å): 5.6911 5.6911 3.7701
angles (deg): 90.00 90.00 90.00
Last column: nearest neighbours and their distance in Å.
Atoms (fractional coordinates):
I1 0.0000 0.5000 0.0000  2 Os 2.85
I2 0.5000 0.0000 0.0000  2 Os 2.85
Os1 0.0000 0.0000 0.0000  2 O 1.89
Hg1 0.5000 0.5000 0.5000  8 I 3.41, 2 Hg 3.77
O1 0.0000 0.0000 0.5000  2 Os 1.89


No. 2
First-principles (PBE) data for crystalline HgPIO2 at its relaxed geometry, as listed in Alexandria via LeMat-Bulk.

Summary:
DFT total energy: -13.33 eV per formula unit
polymorph energy (0 for the lowest one): 793 meV/atom
density of states at the Fermi level: 3.815 states/eV/f.u.
space group: P4/mmm (123)

a b c (Å): 4.1323 4.1323 7.3675
angles (deg): 90.00 90.00 90.00
Last column: nearest neighbours and their distance in Å.
Atoms (fractional coordinates):
I1 0.0000 0.0000 0.5000  4 P 2.92
P1 0.5000 0.5000 0.5000  4 I 2.92
Hg1 0.0000 0.0000 0.0000  4 O 2.07
O1 0.0000 0.5000 0.0000  2 Hg 2.07
O2 0.5000 0.0000 0.0000  2 Hg 2.07


No. 3
First-principles (PBE) data for crystalline HgPIO2 at its relaxed geometry, as listed in Alexandria via LeMat-Bulk.

Summary:
DFT total energy: -17.30 eV per formula unit
polymorph energy (0 for the lowest one): 0 meV/atom
density of states at the Fermi level: 2.259 states/eV/f.u.
space group: P4/mmm (123)

a b c (Å): 3.8946 3.8946 6.0453
angles (deg): 90.00 90.00 90.00
Last column: nearest neighbours and their distance in Å.
Atoms (fractional coordinates):
I1 0.0000 0.0000 0.5000  4 Hg 2.75, 2 P 3.02
P1 0.0000 0.0000 0.0000  4 O 1.95
Hg1 0.5000 0.5000 0.5000  4 I 2.75
O1 0.0000 0.5000 0.0000  2 P 1.95
O2 0.5000 0.0000 0.0000  2 P 1.95


No. 4
First-principles (PBE) data for crystalline HgPIO2 at its relaxed geometry, as listed in Alexandria via LeMat-Bulk.

Summary:
DFT total energy: -16.11 eV per formula unit
polymorph energy (0 for the lowest one): 238 meV/atom
density of states at the Fermi level: 1.487 states/eV/f.u.
space group: P4/mmm (123)

a b c (Å): 4.0121 4.0121 5.6336
angles (deg): 90.00 90.00 90.00
Last column: nearest neighbours and their distance in Å.
Atoms (fractional coordinates):
I1 0.0000 0.0000 0.0000  4 O 2.01
P1 0.0000 0.0000 0.5000  2 I 2.82, 4 Hg 2.84
Hg1 0.5000 0.5000 0.5000  4 P 2.84
O1 0.0000 0.5000 0.0000  2 I 2.01
O2 0.5000 0.0000 0.0000  2 I 2.01